A.
Density functional theory data (PBE) for an optimized crystal structure of AlOs3Ru.

Cell: 4.3456 4.3456 4.3456 Å, 90.00 90.00 90.00°
Positions (direct):
Ru (0.5000, 0.5000, 0.5000)
Os (0.0000, 0.5000, 0.0000)
Os (0.0000, 0.0000, 0.5000)
Os (0.5000, 0.0000, 0.0000)
Al (0.0000, 0.0000, 0.0000)

space-group type = No. 221

B.
Density functional theory data (PBE) for an optimized crystal structure of AlOs3Ru.

Cell: 4.6442 4.6442 4.6442 Å, 90.00 90.00 90.00°
Positions (direct):
Ru (0.0000, 0.0000, 0.0000)
Os (0.0000, 0.5000, 0.0000)
Os (0.0000, 0.0000, 0.5000)
Os (0.5000, 0.0000, 0.0000)
Al (0.5000, 0.5000, 0.5000)

space-group type = No. 221

Which of them is the most stable? Correct choice: A.

A.
Density functional theory data (PBE) for an optimized crystal structure of AlOsRu.

Cell: 2.7700 2.7700 6.4092 Å, 90.00 90.00 120.00°
Positions (direct):
Ru (0.6667, 0.3333, 0.6657)
Os (0.3333, 0.6667, 0.3370)
Al (0.0000, 0.0000, 0.9973)

space-group type = No. 156

B.
Density functional theory data (PBE) for an optimized crystal structure of AlOsRu.

Cell: 4.6207 4.6207 4.6207 Å, 144.80 131.39 61.43°
Positions (direct):
Ru (0.6668, 0.6668, 0.0000)
Os (0.3336, 0.3336, 0.0000)
Al (0.9998, 0.9998, 0.0000)

space-group type = No. 44

C.
Density functional theory data (PBE) for an optimized crystal structure of AlOsRu.

Cell: 6.8328 6.5909 2.7231 Å, 83.33 73.35 23.32°
Positions (direct):
Ru (0.6615, 0.6615, 0.3385)
Os (0.3370, 0.3370, 0.6630)
Al (0.0015, 0.0015, 0.9985)

space-group type = No. 42

Which of them is the most stable? Correct choice: B.

A.
Density functional theory data (PBE) for an optimized crystal structure of AlOs2S.

Cell: 5.6234 5.6234 6.2696 Å, 63.35 63.35 90.00°
Positions (direct):
S (0.0000, 0.0000, 0.0000)
S (0.7500, 0.2500, 0.5000)
Os (0.6647, 0.1250, 0.2500)
Os (0.0853, 0.6250, 0.2500)
Os (0.3750, 0.3353, 0.7500)
Os (0.8750, 0.9147, 0.7500)
Al (0.5000, 0.5000, 0.0000)
Al (0.2500, 0.7500, 0.5000)

space-group type = No. 122

B.
Density functional theory data (PBE) for an optimized crystal structure of AlOs2S.

Cell: 4.2587 4.2587 4.2587 Å, 60.00 60.00 60.00°
Positions (direct):
S (0.5000, 0.5000, 0.5000)
Os (0.2500, 0.2500, 0.2500)
Os (0.7500, 0.7500, 0.7500)
Al (0.0000, 0.0000, 0.0000)

space-group type = No. 225

Which of them is the most stable? Correct choice: B.

A.
Density functional theory data (PBE) for an optimized crystal structure of AlSb3Os.

Cell: 5.0833 5.0833 5.0833 Å, 90.00 90.00 90.00°
Site moments in Bohr magnetons follow the coordinates.
Positions (direct):
Sb (0.0000, 0.5000, 0.0000)  -0.04
Sb (0.0000, 0.0000, 0.5000)  -0.04
Sb (0.5000, 0.0000, 0.0000)  -0.01
Os (0.5000, 0.5000, 0.5000)  1.71
Al (0.0000, 0.0000, 0.0000)  0.00

space-group type = No. 221

B.
Density functional theory data (PBE) for an optimized crystal structure of AlSb3Os.

Cell: 5.1813 5.1813 5.1813 Å, 90.00 90.00 90.00°
Positions (direct):
Sb (0.0000, 0.5000, 0.0000)
Sb (0.0000, 0.0000, 0.5000)
Sb (0.5000, 0.0000, 0.0000)
Os (0.0000, 0.0000, 0.0000)
Al (0.5000, 0.5000, 0.5000)

space-group type = No. 221

Which of them is the most stable? Correct choice: B.